(1)
Compound: HfMoS2
Source: Alexandria via LeMat-Bulk
Functional: PBE-GGA
Structure: relaxed

Unit cell a=4.7106 b=4.7106 c=7.7707 alpha=72.36 beta=72.36 gamma=90.00
Closest atoms and distances in Å follow each position.
Element x y z (fractional)
Hf1 0.7500 0.2500 0.5000  4 S 2.49
S1 0.5965 0.1250 0.2500  2 Mo 2.36, 2 Hf 2.49
Hf2 0.0000 0.0000 0.0000  4 S 2.49
Mo1 0.2500 0.7500 0.5000  4 S 2.36
S2 0.3750 0.4035 0.7500  2 Mo 2.36, 2 Hf 2.49
S3 0.1535 0.6250 0.2500  2 Mo 2.36, 2 Hf 2.49
S4 0.8750 0.8465 0.7500  2 Mo 2.36, 2 Hf 2.49
Mo2 0.5000 0.5000 0.0000  4 S 2.36

Crystal system ... tetragonal
Total magnetization ... 0.9 μB per cell
N(E_F) ... 0.773 states/eV/atom
Formation energy without anion corrections ... -0.478 eV per atom

(2)
Compound: Pr4Ho11S22
Source: Alexandria via LeMat-Bulk
Functional: PBE-GGA
Structure: relaxed

Unit cell a=3.9613 b=11.3860 c=19.7389 alpha=91.76 beta=95.76 gamma=90.00
Closest atoms and distances in Å follow each position.
Element x y z (fractional)
Ho1 0.0000 0.0000 0.0000  6 S 2.74-2.75
Ho2 0.2023 0.9417 0.4045  7 S 2.70-2.89
Pr1 0.3678 0.3497 0.7357  7 S 2.92-3.01
S1 0.1689 0.1505 0.3377  3 Ho 2.66-2.75, 1 Pr 2.93
Ho3 0.3417 0.6994 0.6834  6 S 2.66-2.79
Pr2 0.8951 0.9883 0.7902  8 S 2.93-3.06
S2 0.8644 0.5481 0.7287  3 Ho 2.74-2.79, 2 Pr 3.01
Pr3 0.1049 0.0117 0.2098  8 S 2.93-3.06
Ho4 0.6583 0.3006 0.3166  6 S 2.66-2.79
S3 0.0079 0.2407 0.0158  4 Ho 2.72-2.77
S4 0.8311 0.8495 0.6623  3 Ho 2.66-2.75, 1 Pr 2.93
S5 0.5470 0.9698 0.0939  3 Ho 2.74, 2 Pr 3.04
Ho5 0.7354 0.6476 0.4708  6 S 2.67-2.77
Ho6 0.5384 0.7300 0.0768  6 S 2.66-2.77
Ho7 0.2646 0.3524 0.5292  6 S 2.67-2.77
S6 0.9124 0.2454 0.8248  2 Ho 2.77, 3 Pr 2.92-2.99
Ho8 0.7977 0.0583 0.5955  7 S 2.70-2.89
S7 0.3503 0.0931 0.7005  2 Ho 2.88, 3 Pr 2.93-2.98
S8 0.4068 0.7885 0.8136  3 Ho 2.72-2.77
S9 0.5932 0.2115 0.1864  3 Ho 2.72-2.77
S10 0.6497 0.9069 0.2995  2 Ho 2.88, 3 Pr 2.93-2.98
S11 0.4421 0.4913 0.8841  3 Ho 2.66-2.67
S12 0.1884 0.6908 0.3767  3 Ho 2.76-2.89, 2 Pr 2.99
Ho9 0.4616 0.2700 0.9232  6 S 2.66-2.77
S13 0.5579 0.5087 0.1159  3 Ho 2.66-2.67
S14 0.9921 0.7593 0.9842  4 Ho 2.72-2.77
S15 0.2794 0.5917 0.5588  4 Ho 2.70-2.77
Ho10 0.0705 0.3594 0.1409  6 S 2.67-2.77
S16 0.2552 0.1196 0.5104  4 Ho 2.67-2.86
S17 0.7448 0.8804 0.4896  4 Ho 2.67-2.86
S18 0.4530 0.0302 0.9061  3 Ho 2.74, 2 Pr 3.04
S19 0.8116 0.3092 0.6233  3 Ho 2.76-2.89, 2 Pr 2.99
S20 0.1356 0.4519 0.2713  3 Ho 2.74-2.79, 2 Pr 3.01
Pr4 0.6322 0.6503 0.2643  7 S 2.92-3.01
S21 0.7206 0.4083 0.4412  4 Ho 2.70-2.77
S22 0.0876 0.7546 0.1752  2 Ho 2.77, 3 Pr 2.92-2.99
Ho11 0.9295 0.6406 0.8591  6 S 2.67-2.77

Crystal system ... monoclinic
Total magnetization ... 0.0 μB per cell
N(E_F) ... 0.086 states/eV/atom
Formation energy without anion corrections ... -2.098 eV per atom

(3)
Compound: Ac2Nd3Ho
Source: Alexandria via LeMat-Bulk
Functional: PBE-GGA
Structure: relaxed

Unit cell a=5.3373 b=11.8318 c=8.4026 alpha=114.95 beta=108.52 gamma=90.00
Closest atoms and distances in Å follow each position.
Element x y z (fractional)
Ac1 0.4640 0.1314 0.9280  4 Nd 3.70-3.79, 4 Ho 3.72-3.85, 4 Ac 3.76-3.87
Nd1 0.3753 0.3801 0.7505  8 Nd 3.66-3.81, 1 Ho 3.75, 3 Ac 3.75-3.79
Ac2 0.7915 0.1310 0.5829  4 Nd 3.70-3.82, 3 Ho 3.75-3.86, 5 Ac 3.83-3.87
Nd2 0.0465 0.3826 0.0930  8 Nd 3.65-3.81, 1 Ho 3.73, 3 Ac 3.77-3.82
Nd3 0.9535 0.6175 0.9070  8 Nd 3.65-3.81, 1 Ho 3.73, 3 Ac 3.77-3.82
Nd4 0.7095 0.3787 0.4190  8 Nd 3.65-3.75, 2 Ac 3.70, 2 Ho 3.75
Nd5 0.2905 0.6213 0.5810  8 Nd 3.65-3.75, 2 Ac 3.70, 2 Ho 3.75
Ho1 0.1260 0.1302 0.2520  7 Ac 3.72-3.86, 4 Nd 3.73-3.75, 1 Ho 3.82
Nd6 0.6247 0.6199 0.2495  8 Nd 3.66-3.81, 1 Ho 3.75, 3 Ac 3.75-3.79
Ho2 0.8740 0.8698 0.7480  7 Ac 3.72-3.86, 4 Nd 3.73-3.75, 1 Ho 3.82
Ac3 0.2085 0.8690 0.4171  4 Nd 3.70-3.82, 3 Ho 3.75-3.86, 5 Ac 3.83-3.87
Ac4 0.5360 0.8686 0.0720  4 Nd 3.70-3.79, 4 Ho 3.72-3.85, 4 Ac 3.76-3.87

Crystal system ... monoclinic
Total magnetization ... 0.0 μB per cell
ΔE_f ... 0.0375 eV per atom
N(E_F) ... 1.491 states/eV/atom

(4)
Compound: In2HgTePt
Source: Alexandria via LeMat-Bulk
Functional: PBE-GGA
Structure: relaxed

Unit cell a=5.2487 b=5.2487 c=5.2903 alpha=90.00 beta=90.00 gamma=90.00
Closest atoms and distances in Å follow each position.
Element x y z (fractional)
In1 0.0000 0.5000 0.0000  2 Pt 2.62
Hg1 0.0000 0.0000 0.5000  2 Pt 2.65
Pt1 0.0000 0.0000 0.0000  4 In 2.62, 2 Hg 2.65
Te1 0.5000 0.5000 0.5000  4 Hg 3.71, 8 In 3.73
In2 0.5000 0.0000 0.0000  2 Pt 2.62

Crystal system ... tetragonal
Total magnetization ... 0.0 μB per cell
N(E_F) ... 0.502 states/eV/atom
Formation energy without anion corrections ... -0.150 eV per atom

(5)
Compound: YMgCu2Br
Source: Alexandria via LeMat-Bulk
Functional: PBE-GGA
Structure: relaxed

Unit cell a=4.8269 b=5.1029 c=4.8269 alpha=90.00 beta=90.00 gamma=90.00
Closest atoms and distances in Å follow each position.
Element x y z (fractional)
Y1 0.5000 0.5000 0.5000  4 Mg 3.41, 8 Cu 3.51
Br1 0.0000 0.0000 0.0000  4 Cu 2.41, 2 Mg 2.55
Cu1 0.5000 0.0000 0.0000  2 Br 2.41
Cu2 0.0000 0.0000 0.5000  2 Br 2.41
Mg1 0.0000 0.5000 0.0000  2 Br 2.55

Crystal system ... tetragonal
Total magnetization ... 0.0 μB per cell
N(E_F) ... 0.657 states/eV/atom
Formation energy without anion corrections ... 0.547 eV per atom

(6)
Compound: Tb3Y3Cu4
Source: Alexandria via LeMat-Bulk
Functional: PBE-GGA
Structure: relaxed

Unit cell a=3.7721 b=7.9112 c=7.9112 alpha=90.38 beta=90.00 gamma=90.00
Closest atoms and distances in Å follow each position.
Element x y z (fractional)
Tb1 0.5000 0.1605 0.8395  6 Cu 2.95-3.09
Y1 0.5000 0.3384 0.3320  6 Cu 2.95-3.04
Cu1 0.0000 0.1196 0.1237  1 Cu 2.71, 2 Tb 2.95, 4 Y 2.98-3.04
Y2 0.5000 0.6680 0.6616  6 Cu 2.95-3.04
Cu2 0.0000 0.3782 0.6218  1 Cu 2.74, 4 Y 2.98
Y3 0.5000 0.8322 0.1678  6 Cu 2.98-3.02
Cu3 0.0000 0.6225 0.3775  1 Cu 2.74, 6 Y 2.95-3.02
Cu4 0.0000 0.8763 0.8804  1 Cu 2.71, 2 Tb 2.95, 4 Y 2.98-3.04
Tb2 0.0000 0.0058 0.5015  4 Cu 3.09-3.18
Tb3 0.0000 0.4985 0.9942  4 Cu 3.09-3.18

Crystal system ... orthorhombic
Total magnetization ... 0.0 μB per cell
ΔE_f ... -0.1555 eV per atom
N(E_F) ... 1.295 states/eV/atom